Compound: Ca2Ac3In3
Source: Alexandria
Functional: PBE-GGA
Structure: optimized geometry

Lattice parameters (Å, degrees): 4.058 5.899 23.861 90.00 90.00 90.00
Space group Immm (No. 71)
Asymmetric unit:
1 Ca 0.000 0.000 0.234 x4
2 Ac 0.000 0.000 0.000 x2
3 Ac 0.000 0.500 0.119 x4
4 In 0.000 0.000 0.500 x2
5 In 0.000 0.500 0.371 x4

Output
As for the total energy: -3.368 eV per atom. The value obtained for the calculated formation energy is -0.3005 eV/atom.

=====

Compound: Ca2AcIn
Source: Alexandria
Functional: PBE-GGA
Structure: optimized geometry

Lattice parameters (Å, degrees): 3.763 3.763 10.190 90.00 90.00 90.00
Space group P4/mmm (No. 123)
Asymmetric unit:
1 Ca 0.000 0.000 0.201 x2
2 Ac 0.500 0.500 0.500 x1
3 In 0.500 0.500 0.000 x1

Output
As for the total energy: -2.918 eV per atom. The value obtained for the calculated formation energy is -0.2059 eV/atom.

=====

Compound: Ca2AcIn
Source: Alexandria
Functional: PBE-GGA
Structure: optimized geometry

Lattice parameters (Å, degrees): 5.077 5.121 11.804 90.00 102.41 90.00
Space group P2_1/m (No. 11)
Asymmetric unit:
1 Ca 0.065 0.250 0.133 x2
2 Ca 0.434 0.250 0.867 x2
3 Ac 0.303 0.750 0.603 x2
4 In 0.156 0.750 0.316 x2

Output
As for the total energy: -2.948 eV per atom. The value obtained for the calculated formation energy is -0.2353 eV/atom.

=====

Compound: CaAcInIr
Source: Alexandria
Functional: PBE-GGA
Structure: optimized geometry

Lattice parameters (Å, degrees): 7.537 7.537 7.537 90.00 90.00 90.00
Space group F-43m (No. 216)
Asymmetric unit:
1 Ca 0.000 0.000 0.000 x4
2 Ac 0.000 0.000 0.500 x4
3 In 0.250 0.250 0.750 x4
4 Ir 0.250 0.250 0.250 x4

Output
As for the total energy: -4.717 eV per atom. The value obtained for the calculated formation energy is -0.2900 eV/atom.